No. 1
The following is a DFT calculation (PBE-GGA) of KNa3Li after structural relaxation.

abc: 10.8134 10.8134 7.9064
angles: 101.45 101.45 64.63
Element x y z (fractional)
K  0.0235  0.9765  0.7500
K  0.3560  0.6440  0.2500
K  0.6440  0.3560  0.7500
K  0.9765  0.0235  0.2500
Na  0.0197  0.3412  0.0764
Na  0.0215  0.3533  0.6000
Na  0.3145  0.3228  0.4084
Na  0.3228  0.3145  0.9084
Na  0.3412  0.0197  0.5764
Na  0.3533  0.0215  0.1000
Na  0.6467  0.9785  0.9000
Na  0.6588  0.9803  0.4236
Na  0.6772  0.6855  0.0916
Na  0.6855  0.6772  0.5916
Na  0.9785  0.6467  0.4000
Na  0.9803  0.6588  0.9236
Li  0.2423  0.5891  0.7153
Li  0.4109  0.7577  0.7847
Li  0.5891  0.2423  0.2153
Li  0.7577  0.4109  0.2847

## Properties
Theoretical density (g/cm³): 0.941
N(E_F) (states/eV/f.u.): 1.942
DFT total energy (eV/atom): -1.33
Calculated volume (Å³/f.u.): 203.0
Total magnetic moment (μB/cell): 0.00
ΔE_f (meV/atom): 64

---

No. 2
The following is a DFT calculation (PBE-GGA) of YIrPdPb after structural relaxation.

abc: 4.8364 4.8364 4.8364
angles: 60.00 60.00 60.00
Element x y z (fractional)
Y  0.0000  0.0000  0.0000
Ir  0.2500  0.2500  0.2500
Pd  0.7500  0.7500  0.7500
Pb  0.5000  0.5000  0.5000

## Properties
Theoretical density (g/cm³): 12.346
N(E_F) (states/eV/f.u.): 3.523
DFT total energy (eV/atom): -6.51
Calculated volume (Å³/f.u.): 80.0
Total magnetic moment (μB/cell): 0.00
ΔE_f (meV/atom): -454

---

No. 3
The following is a DFT calculation (PBE-GGA) of TbDy2TlO after structural relaxation.

abc: 4.7827 4.7827 4.8182
angles: 90.00 90.00 90.00
Element x y z (fractional)
Tb  0.0000  0.0000  0.0000
Dy  0.0000  0.5000  0.5000
Dy  0.5000  0.0000  0.5000
Tl  0.5000  0.5000  0.0000
O  0.0000  0.0000  0.5000

## Properties
Theoretical density (g/cm³): 10.612
N(E_F) (states/eV/f.u.): 1.530
DFT total energy (eV/atom): -5.59
Calculated volume (Å³/f.u.): 110.2
Total magnetic moment (μB/cell): 0.00

---

No. 4
The following is a DFT calculation (PBE-GGA) of VZn3P after structural relaxation.

abc: 4.6370 4.6370 4.6370
angles: 90.00 90.00 90.00
Element x y z (fractional)
V  0.0000  0.0000  0.0000
Zn  0.0000  0.5000  0.5000
Zn  0.5000  0.0000  0.5000
Zn  0.5000  0.5000  0.0000
P  0.5000  0.5000  0.5000

## Properties
Theoretical density (g/cm³): 4.632
N(E_F) (states/eV/f.u.): 6.953
DFT total energy (eV/atom): -2.88
Calculated volume (Å³/f.u.): 99.7
Total magnetic moment (μB/cell): 3.47
ΔE_f (meV/atom): 790

---

No. 5
The following is a DFT calculation (PBE-GGA) of Sr2CaFe after structural relaxation.

abc: 5.8281 5.8281 5.8281
angles: 60.00 60.00 60.00
Element x y z (fractional)
Sr  0.0000  0.0000  0.0000
Sr  0.2500  0.2500  0.2500
Ca  0.5000  0.5000  0.5000
Fe  0.7500  0.7500  0.7500

## Properties
Theoretical density (g/cm³): 3.217
N(E_F) (states/eV/f.u.): 6.883
DFT total energy (eV/atom): -2.85
Calculated volume (Å³/f.u.): 140.0
Total magnetic moment (μB/cell): 3.18
ΔE_f (meV/atom): 606

---

No. 6
The following is a DFT calculation (PBE-GGA) of RbPaCu2S4 after structural relaxation.

abc: 6.6773 6.6773 6.6773
angles: 122.72 107.86 98.78
Element x y z (fractional)
Rb  0.0000  0.0000  0.0000
Pa  0.5000  0.5000  0.0000
Cu  0.3546  0.8546  0.5000
Cu  0.6454  0.1454  0.5000
S  0.1504  0.0846  0.5894
S  0.4951  0.5609  0.4106
S  0.5049  0.9154  0.0658
S  0.8496  0.4391  0.9342

## Properties
Theoretical density (g/cm³): 4.342
DFT total energy (eV/atom): -5.26
Calculated volume (Å³/f.u.): 218.7
Total magnetic moment (μB/cell): 0.00

---

No. 7
The following is a DFT calculation (PBE-GGA) of Sr2SiHgPt after structural relaxation.

abc: 5.9470 5.9470 4.5689
angles: 90.00 90.00 90.00
Element x y z (fractional)
Sr  0.0000  0.5000  0.0000
Sr  0.5000  0.0000  0.0000
Si  0.0000  0.0000  0.5000
Hg  0.5000  0.5000  0.5000
Pt  0.0000  0.0000  0.0000

## Properties
Theoretical density (g/cm³): 6.156
N(E_F) (states/eV/f.u.): 3.199
DFT total energy (eV/atom): -3.60
Calculated volume (Å³/f.u.): 161.6
Total magnetic moment (μB/cell): 0.00

---

No. 8
The following is a DFT calculation (PBE-GGA) of La4Nd2Sn3Br2 after structural relaxation.

abc: 12.7600 12.7600 12.7600
angles: 154.64 154.64 36.17
Element x y z (fractional)
La  0.0909  0.5909  0.5000
La  0.4091  0.9091  0.5000
La  0.5909  0.0909  0.5000
La  0.9091  0.4091  0.5000
Nd  0.1999  0.1999  0.0000
Nd  0.8001  0.8001  0.0000
Sn  0.3302  0.3302  0.0000
Sn  0.5000  0.5000  0.0000
Sn  0.6698  0.6698  0.0000
Br  0.0678  0.0678  0.0000
Br  0.9322  0.9322  0.0000

## Properties
Theoretical density (g/cm³): 5.933
N(E_F) (states/eV/f.u.): 11.525
DFT total energy (eV/atom): -4.71
Calculated volume (Å³/f.u.): 380.6
Total magnetic moment (μB/cell): 0.00